Density functional theory data (GGA-PBE) for a geometry-optimized LiNpTlTe3 structure.

a b c (Å): 7.8016 7.8016 11.5750
angles (deg): 90.00 90.00 146.77
With the nearest neighbours (Å) after each atom.
Sites, in units of the cell vectors:
Li1 0.0392 0.9608 0.7500  4 Te 2.73-2.74
Li2 0.9608 0.0392 0.2500  4 Te 2.73-2.74
Np1 0.5000 0.5000 0.0000  6 Te 3.06
Np2 0.5000 0.5000 0.5000  6 Te 3.06
Tl1 0.2435 0.7565 0.2500  8 Te 3.45-3.83
Tl2 0.7565 0.2435 0.7500  8 Te 3.45-3.83
Te1 0.1350 0.8650 0.5494  1 Li 2.73
Te2 0.1350 0.8650 0.9506  1 Li 2.73
Te3 0.4328 0.5672 0.7500  2 Li 2.74, 2 Np 3.06
Te4 0.5672 0.4328 0.2500  2 Li 2.74, 2 Np 3.06
Te5 0.8650 0.1350 0.0494  1 Li 2.73
Te6 0.8650 0.1350 0.4506  1 Li 2.73

Total energy ... -60.80 eV per cell
Magnetic moment ... 3.00 μB/f.u.